1.
# Sm4Tl5Au2 PBE relaxed
data_Sm4Tl5Au2
_cell_length_a 3.759
_cell_length_b 8.164
_cell_length_c 9.908
_cell_angle_alpha 93.04
_cell_angle_beta 90.00
_cell_angle_gamma 90.00
_symmetry_space_group_name_H-M 'P 1'
_symmetry_Int_Tables_number 1
loop_
_symmetry_equiv_pos_as_xyz
'x,y,z'
loop_
_atom_site_label
_atom_site_type_symbol
_atom_site_fract_x
_atom_site_fract_y
_atom_site_fract_z
Sm1 Sm 0.500 0.223 0.420
Sm2 Sm 0.500 0.796 0.144
Sm3 Sm 0.500 0.204 0.856
Sm4 Sm 0.500 0.777 0.580
Tl1 Tl 0.000 0.500 0.000
Tl2 Tl 0.000 0.856 0.868
Tl3 Tl 0.000 0.540 0.335
Tl4 Tl 0.000 0.144 0.132
Tl5 Tl 0.000 0.460 0.665
Au1 Au 0.000 0.080 0.632
Au2 Au 0.000 0.920 0.368
# Space group: P2/m
# Crystal system: monoclinic
# M_tot (μB per formula unit): 0.000
# Formation enthalpy at 0 K (eV/atom): -0.46

=====

2.
# HgTeCCl2 PBE relaxed
data_HgTeCCl2
_cell_length_a 5.268
_cell_length_b 5.963
_cell_length_c 5.268
_cell_angle_alpha 90.00
_cell_angle_beta 90.00
_cell_angle_gamma 90.00
_symmetry_space_group_name_H-M 'P 1'
_symmetry_Int_Tables_number 1
loop_
_symmetry_equiv_pos_as_xyz
'x,y,z'
loop_
_atom_site_label
_atom_site_type_symbol
_atom_site_fract_x
_atom_site_fract_y
_atom_site_fract_z
Te1 Te 0.000 0.000 0.000
C1 C 0.500 0.500 0.500
Hg1 Hg 0.000 0.500 0.000
Cl1 Cl 0.500 0.000 0.000
Cl2 Cl 0.000 0.000 0.500
# Raw formation energy (eV/atom): 1.29
# Space group: P4/mmm
# Crystal system: tetragonal
# M_tot (μB per formula unit): 2.116

=====

3.
# AcBi2P PBE relaxed
data_AcBi2P
_cell_length_a 5.576
_cell_length_b 4.598
_cell_length_c 4.598
_cell_angle_alpha 90.00
_cell_angle_beta 90.00
_cell_angle_gamma 90.00
_symmetry_space_group_name_H-M 'P 1'
_symmetry_Int_Tables_number 1
loop_
_symmetry_equiv_pos_as_xyz
'x,y,z'
loop_
_atom_site_label
_atom_site_type_symbol
_atom_site_fract_x
_atom_site_fract_y
_atom_site_fract_z
P1 P 0.500 0.000 0.000
Ac1 Ac 0.500 0.500 0.500
Bi1 Bi 0.000 0.500 0.000
Bi2 Bi 0.000 0.000 0.500
# Space group: P4/mmm
# Crystal system: tetragonal
# M_tot (μB per formula unit): 0.000
# Formation enthalpy at 0 K (eV/atom): -0.44

=====

4.
# CsSn3C PBE relaxed
data_CsSn3C
_cell_length_a 5.202
_cell_length_b 5.202
_cell_length_c 5.202
_cell_angle_alpha 90.00
_cell_angle_beta 90.00
_cell_angle_gamma 90.00
_symmetry_space_group_name_H-M 'P 1'
_symmetry_Int_Tables_number 1
loop_
_symmetry_equiv_pos_as_xyz
'x,y,z'
loop_
_atom_site_label
_atom_site_type_symbol
_atom_site_fract_x
_atom_site_fract_y
_atom_site_fract_z
Sn1 Sn 0.000 0.500 0.000
Sn2 Sn 0.500 0.000 0.000
Sn3 Sn 0.000 0.000 0.500
Cs1 Cs 0.500 0.500 0.500
C1 C 0.000 0.000 0.000
# Space group: Pm-3m
# E above lowest polymorph (eV per formula unit): 0.00
# Crystal system: cubic
# M_tot (μB per formula unit): 0.000
# Formation enthalpy at 0 K (eV/atom): 0.92